{
  "formula": "NpMn3Cl2O6",
  "functional": "PBE with a Hubbard U",
  "state": "optimized geometry",
  "lattice": [[5.4149, 0.0000, 0.8574], [0.0000, 6.2839, 0.0000], [0.3221, -3.1419, 5.4367]],
  "species": ["Mn", "O", "Mn", "Mn", "Np", "O", "O", "Cl", "O", "O", "O", "Cl"],
  "fractional_positions": [[0.0000, 0.5000, 0.0000], [0.3080, 0.6900, 0.8576], [0.5000, 0.5000, 0.5000], [0.5000, 0.0000, 0.5000], [0.5000, 0.0000, 0.0000], [0.6920, 0.8324, 0.1424], [0.6920, 0.3100, 0.1424], [0.1776, 0.6898, 0.3796], [0.6611, 0.8000, 0.5999], [0.3389, 0.2000, 0.4001], [0.3080, 0.1676, 0.8576], [0.8224, 0.3102, 0.6204]],
  "dft_energy_ev_per_atom": -7.541,
  "volume_a3_per_fu": 183
}